(1)
VASP calculation (PBE) on crystalline SbS2N at its relaxed geometry.

Properties
Fermi-level density of states	3.394	states/eV per cell
total energy	-3.956	eV per atom
uncorrected formation energy	118	kJ per mole of atoms
relative energy among the computed polymorphs	391	kJ/mol of formula units

Geometry as CIF:
```
data_SbS2N
_cell_length_a 3.2747
_cell_length_b 3.2747
_cell_length_c 23.5996
_cell_angle_alpha 90.00
_cell_angle_beta 90.00
_cell_angle_gamma 120.00
_space_group_name_H-M_alt 'R -3 m'
_space_group_IT_number 166
_space_group_name_Hall '-R 3 2"'
loop_
_atom_site_label
_atom_site_fract_x
_atom_site_fract_y
_atom_site_fract_z
Sb1 0.0000 0.0000 0.0000
S1 0.0000 0.0000 0.1140
N1 0.0000 0.0000 0.5000
```



(2)
VASP calculation (PBE) on crystalline SbSN at its relaxed geometry.

Properties
Fermi-level density of states	0.108	states/eV per cell
total energy	-5.070	eV per atom
uncorrected formation energy	44	kJ per mole of atoms
relative energy among the computed polymorphs	159	kJ/mol of formula units

Geometry as CIF:
```
data_SbSN
_cell_length_a 3.4451
_cell_length_b 4.2542
_cell_length_c 4.4793
_cell_angle_alpha 81.52
_cell_angle_beta 72.28
_cell_angle_gamma 88.01
_space_group_name_H-M_alt 'P 1'
_space_group_IT_number 1
_space_group_name_Hall 'P 1'
loop_
_atom_site_label
_atom_site_fract_x
_atom_site_fract_y
_atom_site_fract_z
Sb1 0.0000 0.0000 0.0000
S1 0.3861 0.3648 0.5042
N1 0.4270 0.2511 0.1482
```



(3)
VASP calculation (PBE) on crystalline SbS2N at its relaxed geometry.

Properties
Fermi-level density of states	14.741	states/eV per cell
total energy	-4.191	eV per atom
uncorrected formation energy	95	kJ per mole of atoms
relative energy among the computed polymorphs	300	kJ/mol of formula units

Geometry as CIF:
```
data_SbS2N
_cell_length_a 5.4125
_cell_length_b 5.4125
_cell_length_c 10.4623
_cell_angle_alpha 90.00
_cell_angle_beta 90.00
_cell_angle_gamma 90.00
_space_group_name_H-M_alt 'I -4 2 d'
_space_group_IT_number 122
_space_group_name_Hall 'I -4 2bw'
loop_
_atom_site_label
_atom_site_fract_x
_atom_site_fract_y
_atom_site_fract_z
Sb1 0.0000 0.0000 0.0000
S1 0.0816 0.2500 0.6250
N1 0.0000 0.0000 0.5000
```



(4)
VASP calculation (PBE) on crystalline SbS2N at its relaxed geometry.

Properties
Fermi-level density of states	13.132	states/eV per cell
total energy	-3.785	eV per atom
uncorrected formation energy	134	kJ per mole of atoms
relative energy among the computed polymorphs	457	kJ/mol of formula units

Geometry as CIF:
```
data_SbS2N
_cell_length_a 6.4542
_cell_length_b 6.4542
_cell_length_c 6.4542
_cell_angle_alpha 90.00
_cell_angle_beta 90.00
_cell_angle_gamma 90.00
_space_group_name_H-M_alt 'F m -3 m'
_space_group_IT_number 225
_space_group_name_Hall '-F 4 2 3'
loop_
_atom_site_label
_atom_site_fract_x
_atom_site_fract_y
_atom_site_fract_z
Sb1 0.0000 0.0000 0.0000
S1 0.2500 0.2500 0.2500
N1 0.0000 0.0000 0.5000
```



(5)
VASP calculation (PBE) on crystalline Sb2S3N2 at its relaxed geometry.

Properties
Fermi-level density of states	1.329	states/eV per cell
total energy	-4.882	eV per atom
uncorrected formation energy	43	kJ per mole of atoms

Geometry as CIF:
```
data_Sb2S3N2
_cell_length_a 3.8272
_cell_length_b 6.0655
_cell_length_c 7.6156
_cell_angle_alpha 107.71
_cell_angle_beta 92.97
_cell_angle_gamma 101.83
_space_group_name_H-M_alt 'P -1'
_space_group_IT_number 2
_space_group_name_Hall '-P 1'
loop_
_atom_site_label
_atom_site_fract_x
_atom_site_fract_y
_atom_site_fract_z
Sb1 0.0711 0.1323 0.2739
S1 0.3510 0.7188 0.4330
S2 0.5000 0.0000 0.0000
N1 0.3594 0.4689 0.2920
```



(6)
VASP calculation (PBE) on crystalline SbSN2 at its relaxed geometry.

Properties
Fermi-level density of states	7.364	states/eV per cell
total energy	-4.371	eV per atom
uncorrected formation energy	179	kJ per mole of atoms
relative energy among the computed polymorphs	687	kJ/mol of formula units

Geometry as CIF:
```
data_SbSN2
_cell_length_a 5.8150
_cell_length_b 5.8150
_cell_length_c 5.8150
_cell_angle_alpha 90.00
_cell_angle_beta 90.00
_cell_angle_gamma 90.00
_space_group_name_H-M_alt 'F m -3 m'
_space_group_IT_number 225
_space_group_name_Hall '-F 4 2 3'
loop_
_atom_site_label
_atom_site_fract_x
_atom_site_fract_y
_atom_site_fract_z
Sb1 0.0000 0.0000 0.0000
S1 0.0000 0.0000 0.5000
N1 0.2500 0.2500 0.2500
```



(7)
VASP calculation (PBE) on crystalline SbSN at its relaxed geometry.

Properties
Fermi-level density of states	0.005	states/eV per cell
total energy	-5.128	eV per atom
uncorrected formation energy	38	kJ per mole of atoms
relative energy among the computed polymorphs	142	kJ/mol of formula units

Geometry as CIF:
```
data_SbSN
_cell_length_a 4.3269
_cell_length_b 5.6792
_cell_length_c 5.4958
_cell_angle_alpha 90.00
_cell_angle_beta 101.93
_cell_angle_gamma 90.00
_space_group_name_H-M_alt 'P 1 21 1'
_space_group_IT_number 4
_space_group_name_Hall 'P 2yb'
loop_
_atom_site_label
_atom_site_fract_x
_atom_site_fract_y
_atom_site_fract_z
Sb1 0.0564 0.0000 0.1978
S1 0.4594 0.3602 0.1793
N1 0.1763 0.8295 0.8862
```



(8)
VASP calculation (PBE) on crystalline SbSN at its relaxed geometry.

Properties
total energy	-5.244	eV per atom
uncorrected formation energy	27	kJ per mole of atoms
relative energy among the computed polymorphs	108	kJ/mol of formula units

Geometry as CIF:
```
data_SbSN
_cell_length_a 4.6661
_cell_length_b 5.1139
_cell_length_c 5.8105
_cell_angle_alpha 91.71
_cell_angle_beta 90.04
_cell_angle_gamma 103.23
_space_group_name_H-M_alt 'P 1'
_space_group_IT_number 1
_space_group_name_Hall 'P 1'
loop_
_atom_site_label
_atom_site_fract_x
_atom_site_fract_y
_atom_site_fract_z
Sb1 0.0000 0.0000 0.0000
Sb2 0.3344 0.6534 0.4913
S1 0.4991 0.6389 0.9998
S2 0.8361 0.0157 0.5095
N1 0.0705 0.8827 0.3446
N2 0.2617 0.7680 0.8418
```



(9)
VASP calculation (PBE) on crystalline SbSN at its relaxed geometry.

Properties
total energy	-5.618	eV per atom
uncorrected formation energy	-9	kJ per mole of atoms
relative energy among the computed polymorphs	0	kJ/mol of formula units

Geometry as CIF:
```
data_SbSN
_cell_length_a 9.6335
_cell_length_b 5.0563
_cell_length_c 8.7747
_cell_angle_alpha 90.00
_cell_angle_beta 97.81
_cell_angle_gamma 90.00
_space_group_name_H-M_alt 'P 1 21/c 1'
_space_group_IT_number 14
_space_group_name_Hall '-P 2ybc'
loop_
_atom_site_label
_atom_site_fract_x
_atom_site_fract_y
_atom_site_fract_z
Sb1 0.0870 0.1675 0.4120
S1 0.1384 0.6716 0.7183
N1 0.4822 0.0969 0.0205
```



(10)
VASP calculation (PBE) on crystalline SbSN2 at its relaxed geometry.

Properties
Fermi-level density of states	4.002	states/eV per cell
total energy	-5.410	eV per atom
uncorrected formation energy	79	kJ per mole of atoms
relative energy among the computed polymorphs	286	kJ/mol of formula units

Geometry as CIF:
```
data_SbSN2
_cell_length_a 3.2479
_cell_length_b 3.2479
_cell_length_c 18.6694
_cell_angle_alpha 90.00
_cell_angle_beta 90.00
_cell_angle_gamma 120.00
_space_group_name_H-M_alt 'R -3 m'
_space_group_IT_number 166
_space_group_name_Hall '-R 3 2"'
loop_
_atom_site_label
_atom_site_fract_x
_atom_site_fract_y
_atom_site_fract_z
Sb1 0.0000 0.0000 0.0000
S1 0.0000 0.0000 0.5000
N1 0.0000 0.0000 0.3938
```



(11)
VASP calculation (PBE) on crystalline SbSN at its relaxed geometry.

Properties
total energy	-5.205	eV per atom
uncorrected formation energy	31	kJ per mole of atoms
relative energy among the computed polymorphs	119	kJ/mol of formula units

Geometry as CIF:
```
data_SbSN
_cell_length_a 4.4775
_cell_length_b 4.5502
_cell_length_c 6.4723
_cell_angle_alpha 97.80
_cell_angle_beta 99.87
_cell_angle_gamma 97.71
_space_group_name_H-M_alt 'P 1'
_space_group_IT_number 1
_space_group_name_Hall 'P 1'
loop_
_atom_site_label
_atom_site_fract_x
_atom_site_fract_y
_atom_site_fract_z
Sb1 0.0000 0.0000 0.0000
Sb2 0.3517 0.4409 0.5932
S1 0.6570 0.3998 0.0780
S2 0.7071 0.0479 0.5155
N1 0.0317 0.1385 0.7077
N2 0.6450 0.6179 0.8827
```



(12)
VASP calculation (PBE) on crystalline ScSbSN2 at its relaxed geometry.

Properties
Fermi-level density of states	1.306	states/eV per cell
total energy	-5.833	eV per atom
uncorrected formation energy	40	kJ per mole of atoms
relative energy among the computed polymorphs	0	kJ/mol of formula units

Geometry as CIF:
```
data_ScSbSN2
_cell_length_a 4.0195
_cell_length_b 4.0195
_cell_length_c 5.0273
_cell_angle_alpha 90.00
_cell_angle_beta 90.00
_cell_angle_gamma 90.00
_space_group_name_H-M_alt 'P 4/m m m'
_space_group_IT_number 123
_space_group_name_Hall '-P 4 2'
loop_
_atom_site_label
_atom_site_fract_x
_atom_site_fract_y
_atom_site_fract_z
Sc1 0.0000 0.0000 0.0000
Sb1 0.5000 0.5000 0.5000
S1 0.5000 0.5000 0.0000
N1 0.0000 0.5000 0.5000
```



(13)
VASP calculation (PBE) on crystalline ScSbSN2 at its relaxed geometry.

Properties
Fermi-level density of states	3.579	states/eV per cell
total energy	-5.766	eV per atom
uncorrected formation energy	46	kJ per mole of atoms
relative energy among the computed polymorphs	32	kJ/mol of formula units

Geometry as CIF:
```
data_ScSbSN2
_cell_length_a 4.0946
_cell_length_b 4.0946
_cell_length_c 5.1615
_cell_angle_alpha 90.00
_cell_angle_beta 90.00
_cell_angle_gamma 90.00
_space_group_name_H-M_alt 'P 4/m m m'
_space_group_IT_number 123
_space_group_name_Hall '-P 4 2'
loop_
_atom_site_label
_atom_site_fract_x
_atom_site_fract_y
_atom_site_fract_z
Sc1 0.0000 0.0000 0.0000
Sb1 0.5000 0.5000 0.5000
S1 0.0000 0.0000 0.5000
N1 0.0000 0.5000 0.0000
```